DFT (PBE-GGA) results for a relaxed structure of Ce3Cd5H12.

Lattice parameters (Å, degrees): 11.102 11.102 11.102 109.47 109.47 109.47
Site moments in Bohr magnetons follow the coordinates.
Fractional coordinates of all 80 atoms:
H  0.909  0.816  0.755  0.00
H  0.907  0.816  0.561  0.00
H  0.654  0.061  0.245  0.00
H  0.593  0.939  0.684  0.00
Ce  0.250  0.125  0.375  0.38
H  0.755  0.439  0.346  0.00
H  0.846  0.591  0.907  0.00
Cd  0.625  0.875  0.250  0.01
H  0.245  0.561  0.654  0.00
H  0.154  0.745  0.561  0.00
Cd  0.875  0.625  0.750  0.01
H  0.093  0.184  0.439  0.00
Ce  0.750  0.375  0.125  0.38
Ce  0.125  0.250  0.875  0.38
H  0.184  0.093  0.939  0.00
Cd  0.250  0.375  0.625  0.01
Cd  0.750  0.625  0.375  0.01
H  0.093  0.909  0.154  0.00
Cd  0.875  0.250  0.625  0.01
Cd  0.000  0.500  0.000  0.00
H  0.745  0.591  0.184  0.00
H  0.593  0.654  0.409  0.00
H  0.684  0.439  0.593  0.00
H  0.154  0.409  0.093  0.00
H  0.091  0.184  0.245  0.00
H  0.409  0.154  0.593  0.00
H  0.091  0.907  0.346  0.00
Ce  0.750  0.875  0.625  0.38
H  0.316  0.561  0.407  0.00
H  0.561  0.245  0.154  0.00
H  0.346  0.939  0.755  0.00
H  0.245  0.684  0.091  0.00
H  0.184  0.091  0.745  0.00
Ce  0.875  0.125  0.250  0.38
H  0.255  0.409  0.816  0.00
H  0.407  0.061  0.316  0.00
H  0.907  0.091  0.846  0.00
H  0.939  0.593  0.184  0.00
H  0.654  0.593  0.909  0.00
Cd  0.375  0.250  0.125  0.01
H  0.439  0.755  0.846  0.00
H  0.407  0.346  0.591  0.00
Cd  0.000  0.000  0.500  0.00
H  0.755  0.316  0.909  0.00
Ce  0.375  0.750  0.625  0.38
H  0.561  0.316  0.907  0.00
Ce  0.625  0.375  0.750  0.38
H  0.846  0.255  0.439  0.00
H  0.816  0.907  0.061  0.00
H  0.684  0.245  0.591  0.00
Cd  0.750  0.125  0.875  0.01
Cd  0.500  0.500  0.000  0.00
Cd  0.125  0.750  0.375  0.01
Cd  0.375  0.125  0.750  0.01
H  0.816  0.909  0.255  0.00
Cd  0.000  0.500  0.500  0.00
H  0.439  0.684  0.093  0.00
Ce  0.250  0.625  0.875  0.38
H  0.316  0.755  0.409  0.00
Ce  0.375  0.625  0.250  0.38
Cd  0.500  0.000  0.000  0.00
H  0.939  0.346  0.255  0.00
H  0.061  0.654  0.745  0.00
Cd  0.000  0.000  0.000  0.00
Ce  0.125  0.875  0.750  0.38
H  0.591  0.745  0.684  0.00
H  0.346  0.407  0.091  0.00
H  0.061  0.407  0.816  0.00
Cd  0.250  0.875  0.125  0.01
H  0.591  0.846  0.407  0.00
Cd  0.125  0.375  0.250  0.01
H  0.909  0.093  0.654  0.00
Cd  0.500  0.500  0.500  0.00
Ce  0.875  0.750  0.125  0.38
H  0.255  0.846  0.939  0.00
H  0.409  0.255  0.316  0.00
Cd  0.625  0.750  0.875  0.01
Cd  0.500  0.000  0.500  0.00
Ce  0.625  0.250  0.375  0.38
H  0.745  0.154  0.061  0.00

Summary:
E_tot = -3.178 eV per atom
SG = Ia-3d